Entry 1:
16
Lattice="-5.1629 -3.1717 -1.8457 0.7407 -2.7244 -8.2593 0.7603 -8.5338 1.6687" Properties=species:S:1:pos:R:3 comment="GGA-PBE Pm5Pd3, optimized geometry" sg=I4/mcm e_above_lowest_polymorph_ev_per_fu=0.45 m_tot_mub_per_cell=0.001 e_form_mev_per_atom=-551 pbc="T T T"
Pm -0.5402 -6.4220 -3.7567
Pm -3.1216 -8.0079 -4.6796
Pm -3.8565 -7.7992 -8.4171
Pm 0.1947 -6.6307 -0.0192
Pm -1.2637 -9.5794 -1.7417
Pm -2.3981 -4.8505 -6.6946
Pm -2.4834 -10.6540 -7.3522
Pm -1.1784 -3.7759 -1.0841
Pm -3.7632 -4.3827 -3.6801
Pm 0.1013 -10.0472 -4.7562
Pd -1.2907 -0.7929 -0.4614
Pd -3.8722 -2.3788 -1.3843
Pd -3.3486 -11.0125 -4.3160
Pd -0.3132 -3.4174 -4.1203
Pd -0.7734 -7.5774 -6.5535
Pd -2.8884 -6.8525 -1.8828

Entry 2:
4
Lattice="3.7886 0.0000 0.0000 0.0000 5.5209 0.0000 -1.8943 -2.7605 5.5454" Properties=species:S:1:pos:R:3 comment="GGA-PBE Pm3Pd, optimized geometry" sg=Immm e_above_lowest_polymorph_ev_per_fu=0.27 m_tot_mub_per_cell=0.000 e_form_mev_per_atom=-335 pbc="T T T"
Pd 0.0000 5.0619 0.0000
Pm 0.0000 2.3000 3.2582
Pm 1.8943 2.3001 0.0000
Pm 1.8943 -0.4605 2.2872

Entry 3:
10
Lattice="-7.0132 -0.2117 0.9098 -2.7071 -0.5546 6.5132 -3.3731 6.3193 2.9789" Properties=species:S:1:pos:R:3 comment="GGA-PBE Pm3Pd2, optimized geometry" sg=R-3c e_above_lowest_polymorph_ev_per_fu=0.52 m_tot_mub_per_cell=0.000 e_form_mev_per_atom=-545 pbc="T T T"
Pd -9.7923 2.7898 7.6960
Pd -3.2456 0.0133 2.4950
Pd -3.3012 2.7632 2.7060
Pd -9.8479 5.5397 7.9070
Pm -5.4250 4.2974 7.2313
Pm -8.8095 4.3718 5.3700
Pm -5.5054 4.5913 3.3801
Pm -4.2840 1.1812 5.0320
Pm -7.5880 0.9617 7.0219
Pm -7.6685 1.2556 3.1707